A.
DFT (PBE-GGA) results for a geometry-optimized Ho2InNi structure.

a b c (Å): 7.1688 7.1688 7.1688
angles (deg): 90.00 90.00 90.00
Space group Fm-3m (No. 225)
Inequivalent atoms, fractional coordinates:
1 Ho 0.2500 0.2500 0.2500 x8
2 In 0.0000 0.0000 0.0000 x4
3 Ni 0.0000 0.0000 0.5000 x4

Summary:
For the magnetization, the calculation gives 0.00 Bohr magnetons per cell.



B.
DFT (PBE-GGA) results for a geometry-optimized Ho2InNi structure.

a b c (Å): 3.8195 3.8195 28.2584
angles (deg): 90.00 90.00 120.00
Space group R-3m (No. 166, hexagonal axes)
Inequivalent atoms, fractional coordinates:
1 Ho 0.0000 0.0000 0.1144 x6
2 In 0.0000 0.0000 0.0000 x3
3 Ni 0.0000 0.0000 0.5000 x3

Summary:
For the magnetization, the calculation gives 0.00 Bohr magnetons per cell.



C.
DFT (PBE-GGA) results for a geometry-optimized Ho2InNi structure.

a b c (Å): 3.4375 3.4375 7.6552
angles (deg): 90.00 90.00 90.00
Space group P4/mmm (No. 123)
Inequivalent atoms, fractional coordinates:
1 Ho 0.0000 0.0000 0.2134 x2
2 In 0.5000 0.5000 0.5000 x1
3 Ni 0.5000 0.5000 0.0000 x1

Summary:
For the magnetization, the calculation gives 0.00 Bohr magnetons per cell.



Which one is most stable, and which one is least stable? C is the most stable of them, while B is the least stable.



A.
DFT (PBE-GGA) results for a geometry-optimized Ho2InO structure.

a b c (Å): 3.0977 3.0977 7.9107
angles (deg): 90.00 90.00 90.00
Space group P4/mmm (No. 123)
Inequivalent atoms, fractional coordinates:
1 Ho 0.0000 0.0000 0.1956 x2
2 In 0.5000 0.5000 0.5000 x1
3 O 0.5000 0.5000 0.0000 x1

Summary:
For the magnetization, the calculation gives 0.34 Bohr magnetons per cell.



B.
DFT (PBE-GGA) results for a geometry-optimized Ho2InO structure.

a b c (Å): 6.4278 6.4287 8.5709
angles (deg): 90.00 97.87 90.00
Space group C2/m (No. 12)
Inequivalent atoms, fractional coordinates:
1 Ho 0.0000 0.2477 0.0000 x4
2 Ho 0.1956 0.5000 0.6710 x4
3 In 0.1846 0.0000 0.6849 x4
4 O 0.2304 0.5000 0.9358 x4

Summary:
For the magnetization, the calculation gives 0.00 Bohr magnetons per cell.



C.
DFT (PBE-GGA) results for a geometry-optimized Ho2InO structure.

a b c (Å): 5.0733 5.0733 19.4262
angles (deg): 90.00 90.00 120.00
Space group R-3m (No. 166, hexagonal axes)
Inequivalent atoms, fractional coordinates:
1 Ho 0.0000 0.0000 0.1033 x6
2 In 0.0000 0.0000 0.5000 x3
3 O 0.0000 0.0000 0.0000 x3

Summary:
For the magnetization, the calculation gives 0.00 Bohr magnetons per cell.



Which one is most stable, and which one is least stable? B is the most stable of them, while A is the least stable.



A.
DFT (PBE-GGA) results for a geometry-optimized Ho6InOs structure.

a b c (Å): 6.8543 6.8826 7.4561
angles (deg): 90.28 117.00 119.83
Space group P-1 (No. 2)
Inequivalent atoms, fractional coordinates:
1 Ho 0.0454 0.0823 0.2557 x2
2 Ho 0.2922 0.7099 0.2550 x2
3 Ho 0.3233 0.5352 0.7451 x2
4 In 0.5000 0.0000 0.0000 x1
5 Os 0.5000 0.5000 0.5000 x1

Summary:
For the magnetization, the calculation gives 0.00 Bohr magnetons per cell.



B.
DFT (PBE-GGA) results for a geometry-optimized Ho6InOs structure.

a b c (Å): 4.9771 4.9771 17.5233
angles (deg): 90.00 90.00 90.00
Space group I4/mmm (No. 139)
Inequivalent atoms, fractional coordinates:
1 Ho 0.0000 0.0000 0.2478 x4
2 Ho 0.0000 0.5000 0.1015 x8
3 In 0.0000 0.0000 0.0000 x2
4 Os 0.0000 0.0000 0.5000 x2

Summary:
For the magnetization, the calculation gives 0.01 Bohr magnetons per cell.



Which one is most stable, and which one is least stable? B is the most stable of them, while A is the least stable.